(1)
A plane-wave DFT calculation with GGA-PBE was carried out for crystalline Tb2Dy6HoSc at its relaxed geometry.

Cell: 9.4427 8.6631 8.6631 Å, 117.45 94.05 94.05°
Atoms (fractional coordinates):
Dy: 0.0555 0.1260 0.7518
Dy: 0.8828 0.2925 0.5048
Tb: 0.4541 0.7999 0.6975
Dy: 0.3100 0.9922 0.4331
Dy: 0.8100 0.4331 0.9922
Ho: 0.7500 0.0211 0.9789
Dy: 0.6900 0.0078 0.5669
Dy: 0.5555 0.7518 0.1260
Dy: 0.3828 0.5048 0.2925
Tb: 0.9541 0.6975 0.7999
Dy: 0.1172 0.7075 0.4952
Tb: 0.0459 0.3025 0.2001
Dy: 0.1900 0.5669 0.0078
Dy: 0.4445 0.2482 0.8740
Ho: 0.2500 0.9789 0.0211
Sc: 0.7500 0.5874 0.4126
Dy: 0.9445 0.8740 0.2482
Dy: 0.6172 0.4952 0.7075
Tb: 0.5459 0.2001 0.3025
Sc: 0.2500 0.4126 0.5874

Total moment ... 0.00 μB/atom
ΔH_f (0 K) ... 2.887 kcal/mol of atoms
Space group ... C2/c
Energy ... -4.65 eV per atom

(2)
A plane-wave DFT calculation with GGA-PBE was carried out for crystalline Ce2YScTe4 at its relaxed geometry.

Cell: 4.3307 7.5343 7.7019 Å, 108.83 90.00 90.00°
Each line ends with the local moment (μB).
Atoms (fractional coordinates):
Y: 0.5000 0.5000 0.0000  0.00
Ce: 0.0000 0.5000 0.5000  1.04
Te: 0.0000 0.7521 0.2345  -0.01
Te: 0.5000 0.7640 0.7704  -0.01
Te: 0.5000 0.2360 0.2296  -0.01
Ce: 0.5000 0.0000 0.5000  0.98
Te: 0.0000 0.2479 0.7655  -0.01
Sc: 0.0000 0.0000 0.0000  0.00

Total moment ... 0.31 μB/atom
Space group ... P2/m
Energy ... -5.94 eV per atom